# Dy4Er2Sc (PBE-GGA, optimized geometry)
# polymorph energy (0 for the lowest one) = 0.048 eV per atom
data_Dy4Er2Sc
_space_group_name_H-M_alt 'P b c a'
_space_group_IT_number 61
_space_group_name_Hall '-P 2ac 2ab'
_cell_length_a 5.427
_cell_length_b 11.973
_cell_length_c 13.304
_cell_angle_alpha 90.00
_cell_angle_beta 90.00
_cell_angle_gamma 90.00
loop_
_atom_site_label
_atom_site_fract_x
_atom_site_fract_y
_atom_site_fract_z
Dy1 0.001 0.141 0.180
Dy2 0.001 0.243 0.425
Er1 0.000 0.070 0.656
Sc1 0.000 0.000 0.000

# Dy4Er5Sc (PBE-GGA, optimized geometry)
# polymorph energy (0 for the lowest one) = 0.120 eV per atom
data_Dy4Er5Sc
_space_group_name_H-M_alt 'I 4 m m'
_space_group_IT_number 107
_space_group_name_Hall 'I 4 -2'
_cell_length_a 10.520
_cell_length_b 10.520
_cell_length_c 5.696
_cell_angle_alpha 90.00
_cell_angle_beta 90.00
_cell_angle_gamma 90.00
loop_
_atom_site_label
_atom_site_fract_x
_atom_site_fract_y
_atom_site_fract_z
Dy1 0.000 0.323 0.000
Er1 0.000 0.000 0.772
Er2 0.187 0.187 0.491
Sc1 0.000 0.000 0.243

# Dy8ErSc2 (PBE-GGA, optimized geometry)
# polymorph energy (0 for the lowest one) = 0.000 eV per atom
data_Dy8ErSc2
_space_group_name_H-M_alt 'I m m m'
_space_group_IT_number 71
_space_group_name_Hall '-I 2 2'
_cell_length_a 5.349
_cell_length_b 8.191
_cell_length_c 15.414
_cell_angle_alpha 90.00
_cell_angle_beta 90.00
_cell_angle_gamma 90.00
loop_
_atom_site_label
_atom_site_fract_x
_atom_site_fract_y
_atom_site_fract_z
Dy1 0.000 0.000 0.162
Dy2 0.000 0.204 0.358
Dy3 0.000 0.300 0.000
Er1 0.000 0.500 0.500
Sc1 0.000 0.500 0.202

Entry from the Alexandria database: an optimized crystal structure of Dy14ErSc (PBE-GGA).

Cell and atoms, written as CIF:
```
data_Dy14ErSc
_space_group_name_H-M_alt 'P 4/m m m'
_space_group_IT_number 123
_space_group_name_Hall '-P 4 2'
_cell_length_a 7.050
_cell_length_b 7.050
_cell_length_c 9.949
_cell_angle_alpha 90.00
_cell_angle_beta 90.00
_cell_angle_gamma 90.00
loop_
_atom_site_label
_atom_site_fract_x
_atom_site_fract_y
_atom_site_fract_z
Dy1 0.000 0.000 0.000
Dy2 0.000 0.500 0.000
Dy3 0.000 0.500 0.500
Dy4 0.249 0.249 0.253
Dy5 0.500 0.500 0.000
Er1 0.500 0.500 0.500
Sc1 0.000 0.000 0.500
```

Short version: DFT formation energy = 0.19, 0.24, 0.12, 0.02 eV/atom, in the order given.
Short version: total magnetic moment = 0.0, 0.0, 0.0, 0.0 μB per formula unit, in the order given.